Material: Er3Tl
Method: DFT, GGA-PBE
State: relaxed

Geometry as CIF:
```
data_Er3Tl
_space_group_name_H-M_alt 'P 1'
_space_group_IT_number 1
_cell_length_a 5.4193
_cell_length_b 5.4193
_cell_length_c 5.4193
_cell_angle_alpha 60.00
_cell_angle_beta 60.00
_cell_angle_gamma 60.00
loop_
_space_group_symop_operation_xyz
'x,y,z'
loop_
_atom_site_label
_atom_site_fract_x
_atom_site_fract_y
_atom_site_fract_z
_atom_site_occupancy
Er1 0.0000 0.0000 0.0000 1
Er2 0.7500 0.7500 0.7500 1
Er3 0.2500 0.2500 0.2500 1
Tl1 0.5000 0.5000 0.5000 1
```

## Properties
Magnetic moment = 1.29 μB per formula unit
Energy relative to the elements = -1 kJ per mole of atoms
Space group = No. 225
Crystal system = cubic
Theoretical density = 10.419 g/cm³